Entry 1:
VASP calculation (PBE-GGA) on SrAcCdN after structural relaxation.

The space group is Cm (No. 8) and the conventional cell measures 5.681, 5.019 and 8.314 Å, with angles of 90.00, 109.18 and 90.00 degrees. The inequivalent atoms are Sr at (0.000, 0.000, 0.000), Ac at (0.322, 0.000, 0.611), Cd at (0.137, 0.500, 0.279) and N at (0.280, 0.500, 0.687).

As for the uncorrected formation energy: -0.55 eV per atom. The calculation puts the density of states at the Fermi level at 0.381 states/eV/atom. For the magnetic moment, the calculation gives 0.000 μB/f.u. As for the crystal system: monoclinic.

Entry 2:
VASP calculation (PBE-GGA) on AcCd2TcN4 after structural relaxation.

The space group is I-42m (No. 121) and the conventional cell measures 5.295, 5.295 and 10.126 Å, with angles of 90.00, 90.00 and 90.00 degrees. The inequivalent atoms are Ac at (0.000, 0.000, 0.000), Cd at (0.000, 0.500, 0.250), Tc at (0.000, 0.000, 0.500) and N at (0.201, 0.201, 0.611).

As for the uncorrected formation energy: -0.10 eV per atom. The calculation puts the density of states at the Fermi level at 0.303 states/eV/atom. For the magnetic moment, the calculation gives 0.000 μB/f.u. As for the crystal system: tetragonal.

Entry 3:
VASP calculation (PBE-GGA) on AcCd2WN4 after structural relaxation.

The space group is I-42m (No. 121) and the conventional cell measures 5.383, 5.383 and 9.882 Å, with angles of 90.00, 90.00 and 90.00 degrees. The inequivalent atoms are Ac at (0.000, 0.000, 0.000), Cd at (0.000, 0.500, 0.250), W at (0.000, 0.000, 0.500) and N at (0.203, 0.203, 0.387).

As for the uncorrected formation energy: -0.33 eV per atom. The calculation puts the density of states at the Fermi level at 0.216 states/eV/atom. For the magnetic moment, the calculation gives 0.000 μB/f.u. As for the crystal system: tetragonal.

Entry 4:
VASP calculation (PBE-GGA) on Ac4CdW3N12 after structural relaxation.

The space group is Im-3m (No. 229) and the conventional cell measures 8.245, 8.245 and 8.245 Å, with angles of 90.00, 90.00 and 90.00 degrees. The inequivalent atoms are Ac at (0.250, 0.250, 0.250), Cd at (0.000, 0.000, 0.000), W at (0.000, 0.000, 0.500), N at (0.000, 0.000, 0.265) and N at (0.000, 0.250, 0.500).

As for the uncorrected formation energy: -0.55 eV per atom. The calculation puts the density of states at the Fermi level at 0.698 states/eV/atom. For the magnetic moment, the calculation gives 0.012 μB/f.u. As for the crystal system: cubic.

Entry 5:
VASP calculation (PBE-GGA) on Na3AcCd8 after structural relaxation.

The space group is P3m1 (No. 156) and the conventional cell measures 6.0913, 6.0913 and 9.7829 Å, with angles of 90.00, 90.00 and 120.00 degrees. The inequivalent atoms are Na at (0.0000, 0.0000, 0.0000), Na at (0.0000, 0.0000, 0.3671), Na at (0.3333, 0.6667, 0.8871), Ac at (0.3333, 0.6667, 0.5045), Cd at (0.0058, 0.5029, 0.1885), Cd at (0.3246, 0.1623, 0.6940), Cd at (0.6667, 0.3333, 0.4405) and Cd at (0.6667, 0.3333, 0.9407).

For the energy of formation from the pure elements, the calculation gives -0.165 eV per atom. The calculation puts the density of states at the Fermi level at 0.531 states/eV/atom. For the magnetic moment, the calculation gives 0.000 μB/f.u. Its distance to the lowest polymorph of the same formula is 0 meV per atom. As for the crystal system: trigonal.

Entry 6:
VASP calculation (PBE-GGA) on NaAc2Cd5 after structural relaxation.

The space group is Cmcm (No. 63) and the conventional cell measures 4.946, 18.142 and 10.522 Å, with angles of 90.00, 90.00 and 90.00 degrees. The inequivalent atoms are Na at (0.000, 0.048, 0.250), Ac at (0.000, 0.304, 0.750), Ac at (0.000, 0.500, 0.000), Cd at (0.000, 0.110, 0.750), Cd at (0.000, 0.146, 0.022) and Cd at (0.000, 0.309, 0.107).

For the energy of formation from the pure elements, the calculation gives -0.162 eV per atom. The calculation puts the density of states at the Fermi level at 0.862 states/eV/atom. For the magnetic moment, the calculation gives 0.000 μB/f.u. Its distance to the lowest polymorph of the same formula is 7 meV per atom. As for the crystal system: orthorhombic.

Entry 7:
VASP calculation (PBE-GGA) on NaAc2Cd after structural relaxation.

The space group is P4/mmm (No. 123) and the conventional cell measures 4.113, 4.113 and 8.828 Å, with angles of 90.00, 90.00 and 90.00 degrees. The inequivalent atoms are Na at (0.000, 0.000, 0.000), Ac at (0.500, 0.500, 0.279) and Cd at (0.000, 0.000, 0.500).

For the energy of formation from the pure elements, the calculation gives -0.060 eV per atom. The calculation puts the density of states at the Fermi level at 0.970 states/eV/atom. For the magnetic moment, the calculation gives 0.000 μB/f.u. Its distance to the lowest polymorph of the same formula is 0 meV per atom. As for the crystal system: tetragonal.

Entry 8:
VASP calculation (PBE-GGA) on Na2Ac2Cd15 after structural relaxation.

The space group is R-3m (No. 166, hexagonal axes) and the conventional cell measures 10.3944, 10.3944 and 15.0294 Å, with angles of 90.00, 90.00 and 120.00 degrees. The inequivalent atoms are Na at (0.0000, 0.0000, 0.0985), Ac at (0.0000, 0.0000, 0.3419), Cd at (0.0000, 0.3000, 0.0000), Cd at (0.0000, 0.5000, 0.5000) and Cd at (0.0098, 0.5049, 0.1508).

For the energy of formation from the pure elements, the calculation gives -0.186 eV per atom. The calculation puts the density of states at the Fermi level at 0.327 states/eV/atom. For the magnetic moment, the calculation gives 0.000 μB/f.u. As for the crystal system: trigonal.

Question: Number 8 is which compound?
Answer: Na2Ac2Cd15